This record from the Alexandria database describes crystalline RbCrPbO4 at its relaxed geometry. The functional is PBE with a Hubbard U.

It has space group P2_1/m (No. 11), with a = 6.292 Å, b = 6.186 Å, c = 7.920 Å, α = 90.00°, β = 112.04° and γ = 90.00°. The distinct sites, in fractional coordinates, are Rb at (0.191, 0.250, 0.452), Cr at (0.243, 0.750, 0.195), Pb at (0.294, 0.250, 0.012), O at (0.066, 0.750, 0.313), O at (0.067, 0.750, 0.964) and O at (0.409, 0.517, 0.239).

Its theoretical density is 4749 kg/m³. The volume comes out at 20.4 Å³/atom. The raw total energy is -0.44193 Ry/atom. For the total moment, the calculation gives 1.000 μB per formula unit.